The following is a DFT calculation (GGA+U) of a relaxed structure of Mn3Fe2Sb3O16.

POSCAR file:
```
Mn3Fe2Sb3O16
1.0
3.015 5.306 -0.004
-3.015 5.306 -0.004
0.000 0.092 9.100
Mn O Sb Fe
3 16 3 2
Cartesian
-1.495 4.459 6.458
1.495 4.459 6.458
0.000 8.832 1.944
0.000 5.117 7.520
0.000 8.941 5.491
-1.529 4.444 0.951
0.000 10.614 7.407
0.000 1.762 0.853
1.529 4.444 0.951
1.513 6.232 5.497
-1.303 7.858 3.038
0.000 0.150 2.979
1.303 7.858 3.038
0.000 5.547 3.141
1.328 2.891 7.599
-1.328 2.891 7.599
0.000 6.912 0.772
0.000 3.627 5.457
-1.513 6.232 5.497
-1.495 6.196 1.919
0.000 1.821 6.481
1.495 6.196 1.919
0.000 3.736 9.018
0.000 7.197 4.537
```

## Properties
VASP energy ... -6.55 eV per atom